No. 1
# Li8Zn2Cu3

A relaxed Li8Zn2Cu3 crystal (PBE-GGA, Alexandria via LeMat-Bulk).

Computed properties:
Excess energy over the best structure of this formula in the dataset: 0 meV per atom
DFT formation energy: -0.0397 eV per atom

Unit cell a=4.650 b=4.440 c=9.327 alpha=90.00 beta=94.65 gamma=90.00
Fractional positions:
Li 0.066 0.000 0.126
Li 0.243 0.500 0.586
Li 0.255 0.500 0.234
Li 0.342 0.000 0.735
Li 0.658 0.000 0.265
Li 0.745 0.500 0.766
Li 0.757 0.500 0.414
Li 0.934 0.000 0.874
Zn 0.228 0.000 0.428
Zn 0.772 0.000 0.572
Cu 0.247 0.500 0.946
Cu 0.500 0.000 0.000
Cu 0.753 0.500 0.054

=====

No. 2
# La2ErMg4

A relaxed La2ErMg4 crystal (PBE-GGA, Alexandria via LeMat-Bulk).

Computed properties:
DFT formation energy: 0.0362 eV per atom

Unit cell a=8.527 b=8.527 c=8.527 alpha=37.08 beta=37.08 gamma=37.08
Fractional positions:
La 0.215 0.215 0.215
La 0.785 0.785 0.785
Er 0.500 0.500 0.500
Mg 0.067 0.067 0.067
Mg 0.363 0.363 0.363
Mg 0.637 0.637 0.637
Mg 0.933 0.933 0.933

=====

No. 3
# Na3In9Au2

A relaxed Na3In9Au2 crystal (PBE-GGA, Alexandria via LeMat-Bulk).

Computed properties:
DFT formation energy: -0.1359 eV per atom

Unit cell a=8.900 b=8.900 c=8.900 alpha=147.33 beta=105.30 gamma=83.93
Fractional positions:
Na 0.000 0.000 0.000
Na 0.288 0.288 0.000
Na 0.712 0.712 0.000
In 0.010 0.374 0.636
In 0.134 0.850 0.284
In 0.262 0.626 0.636
In 0.435 0.150 0.284
In 0.500 0.000 0.500
In 0.565 0.850 0.716
In 0.738 0.374 0.364
In 0.866 0.150 0.716
In 0.990 0.626 0.364
Au 0.359 0.500 0.859
Au 0.641 0.500 0.141

=====

No. 4
# TmPaFe2

A relaxed TmPaFe2 crystal (PBE-GGA, Alexandria via LeMat-Bulk).

Computed properties:
Excess energy over the best structure of this formula in the dataset: 222 meV per atom
DFT formation energy: 0.1307 eV per atom

Unit cell a=7.637 b=7.637 c=7.637 alpha=26.06 beta=26.06 gamma=26.06
Fractional positions:
Tm 0.000 0.000 0.000
Pa 0.500 0.500 0.500
Fe 0.241 0.241 0.241
Fe 0.759 0.759 0.759

=====

No. 5
# BeSbPdI2

A relaxed BeSbPdI2 crystal (PBE-GGA, Alexandria via LeMat-Bulk).

Computed properties:
Formation energy from raw total energies: 609 meV/atom
Excess energy over the best structure of this formula in the dataset: 0 meV per atom

Unit cell a=5.278 b=5.278 c=4.817 alpha=90.00 beta=90.00 gamma=90.00
Fractional positions:
Be 0.000 0.000 0.000
Sb 0.000 0.000 0.500
Pd 0.500 0.500 0.500
I 0.000 0.500 0.000
I 0.500 0.000 0.000

=====

No. 6
# TbUMn4

A relaxed TbUMn4 crystal (PBE-GGA, Alexandria via LeMat-Bulk).

Computed properties:
DFT formation energy: 0.1473 eV per atom

Unit cell a=5.110 b=5.110 c=5.110 alpha=60.00 beta=60.00 gamma=60.00
Fractional positions:
Tb 0.000 0.000 0.000
U 0.750 0.750 0.750
Mn 0.376 0.376 0.376
Mn 0.376 0.376 0.871
Mn 0.376 0.871 0.376
Mn 0.871 0.376 0.376

=====

No. 7
# Ni21Sn2P6

A relaxed Ni21Sn2P6 crystal (PBE-GGA, Alexandria via LeMat-Bulk).

Computed properties:
DFT formation energy: -0.4165 eV per atom

Unit cell a=7.864 b=7.864 c=7.864 alpha=60.00 beta=60.00 gamma=60.00
Fractional positions:
Ni 0.000 0.000 0.000
Ni 0.000 0.000 0.348
Ni 0.000 0.000 0.652
Ni 0.000 0.348 0.000
Ni 0.000 0.348 0.652
Ni 0.000 0.652 0.000
Ni 0.000 0.652 0.348
Ni 0.152 0.616 0.616
Ni 0.348 0.000 0.000
Ni 0.348 0.000 0.652
Ni 0.348 0.652 0.000
Ni 0.384 0.384 0.384
Ni 0.384 0.384 0.848
Ni 0.384 0.848 0.384
Ni 0.616 0.152 0.616
Ni 0.616 0.616 0.152
Ni 0.616 0.616 0.616
Ni 0.652 0.000 0.000
Ni 0.652 0.000 0.348
Ni 0.652 0.348 0.000
Ni 0.848 0.384 0.384
Sn 0.250 0.250 0.250
Sn 0.750 0.750 0.750
P 0.262 0.262 0.738
P 0.262 0.738 0.262
P 0.262 0.738 0.738
P 0.738 0.262 0.262
P 0.738 0.262 0.738
P 0.738 0.738 0.262

=====

No. 8
# Tl2SIN

A relaxed Tl2SIN crystal (PBE-GGA, Alexandria via LeMat-Bulk).

Computed properties:
Formation energy from raw total energies: 930 meV/atom

Unit cell a=6.112 b=6.112 c=5.346 alpha=90.00 beta=90.00 gamma=90.00
Fractional positions:
Tl 0.000 0.500 0.000
Tl 0.500 0.000 0.000
S 0.000 0.000 0.000
I 0.000 0.000 0.500
N 0.500 0.500 0.500

=====

Number 1: calculated volume 191.9 Å³/cell, uncorrected energy -30.7 eV for the cell shown. Number 2: calculated volume 202.0 Å³/cell, uncorrected energy -20.5 eV for the cell shown. Number 3: calculated volume 357.8 Å³/cell, uncorrected energy -37.1 eV for the cell shown. Number 4: calculated volume 75.7 Å³/cell, uncorrected energy -30.4 eV for the cell shown. Number 5: calculated volume 134.2 Å³/cell, uncorrected energy -13.1 eV for the cell shown. Number 6: calculated volume 94.4 Å³/cell, uncorrected energy -51.7 eV for the cell shown. Number 7: calculated volume 343.9 Å³/cell, uncorrected energy -174.0 eV for the cell shown. Number 8: calculated volume 199.7 Å³/cell, uncorrected energy -14.1 eV for the cell shown.